Record 1
An optimized crystal structure of Cu2Pd. Source: the Alexandria database, functional GGA-PBE.

Computed properties:
Its density of states at the Fermi level is 1.1 states/eV/f.u. The calculation puts the formation energy at -95 meV/atom.

a b c (Å): 2.9444 2.9444 9.0927
angles (deg): 90.00 90.00 90.00
Space group I4/mmm (No. 139)
Asymmetric unit:
Cu1 0.0000 0.0000 0.1758 (multiplicity 4)
Pd1 0.0000 0.0000 0.5000 (multiplicity 2)

=====

Record 2
An optimized crystal structure of NaAlVCl6. Source: the Alexandria database, functional GGA-PBE.

Computed properties:
The uncorrected formation energy comes out at -140.3 kJ per mole of atoms.

a b c (Å): 6.2694 6.2694 12.4372
angles (deg): 90.00 90.00 120.00
Space group P-31c (No. 163)
Asymmetric unit:
Na1 0.0000 0.0000 0.0000 (multiplicity 2)
Al1 0.3333 0.6667 0.2500 (multiplicity 2)
V1 0.3333 0.6667 0.7500 (multiplicity 2)
Cl1 0.0150 0.3710 0.1418 (multiplicity 12)

=====

Record 3
An optimized crystal structure of CsTm3Se4O12. Source: the Alexandria database, functional GGA-PBE.

Computed properties:
Its density of states at the Fermi level is 8.3 states/eV/f.u. The uncorrected formation energy comes out at -158.8 kJ per mole of atoms.

a b c (Å): 12.2527 12.2527 8.3025
angles (deg): 90.00 90.00 120.00
Space group R32 (No. 155, hexagonal axes)
Asymmetric unit:
Cs1 0.0000 0.0000 0.0000 (multiplicity 3)
Tm1 0.0000 0.5695 0.0000 (multiplicity 9)
Se1 0.0000 0.0000 0.5000 (multiplicity 3)
Se2 0.0000 0.4302 0.5000 (multiplicity 9)
O1 0.0000 0.6159 0.5000 (multiplicity 9)
O2 0.0000 0.8433 0.5000 (multiplicity 9)
O3 0.0537 0.2574 0.1734 (multiplicity 18)